SrPmCdGa | PBE | optimized geometry

## Properties
Fermi-level density of states, states/eV per cell: 10.15
Magnetization, Bohr magnetons per cell: 0.00
E_form, kcal/mol of atoms: -8.214

Geometry as CIF:
```
data_SrPmCdGa
_symmetry_space_group_name_H-M 'F -4 3 m'
_symmetry_Int_Tables_number 216
_symmetry_space_group_name_Hall 'F -4 2 3'
_cell_length_a 7.714
_cell_length_b 7.714
_cell_length_c 7.714
_cell_angle_alpha 90.00
_cell_angle_beta 90.00
_cell_angle_gamma 90.00
loop_
_atom_site_label
_atom_site_type_symbol
_atom_site_fract_x
_atom_site_fract_y
_atom_site_fract_z
Sr1 Sr 0.000 0.000 0.000
Pm1 Pm 0.000 0.000 0.500
Cd1 Cd 0.250 0.250 0.250
Ga1 Ga 0.250 0.250 0.750
```